# 1
Here is crystalline SmErPd4 at its relaxed geometry from Alexandria via LeMat-Bulk. Energies are from GGA-PBE.

Calculated total energy in eV/atom: -5.6020
DFT formation energy in kJ per mole of atoms: -57
Total magnetic moment in μB per formula unit: 0.00
Space group: P4/mmm

Lattice parameters (Å, degrees): 3.945 3.946 8.526 90.00 90.00 90.00
Fractional coordinates of all 6 atoms:
Pd1 0.501 0.997 0.742
Pd2 0.501 0.997 0.254
Pd3 0.001 0.497 0.742
Pd4 0.001 0.497 0.255
Sm1 0.501 0.497 0.998
Er1 0.001 0.997 0.498

=====

# 2
Here is crystalline Co2SnPt2 at its relaxed geometry from Alexandria via LeMat-Bulk. Energies are from GGA-PBE.

Calculated total energy in eV/atom: -6.0397
DFT formation energy in kJ per mole of atoms: 2
Total magnetic moment in μB per formula unit: 3.05
Space group: P4/mbm

Lattice parameters (Å, degrees): 6.455 6.455 3.679 90.00 90.00 90.00
Site moments in Bohr magnetons follow the coordinates.
Fractional coordinates of all 10 atoms:
Pt1 0.343 0.157 0.500  0.19
Co1 0.128 0.372 0.000  1.41
Co2 0.872 0.628 0.000  1.41
Pt2 0.657 0.843 0.500  0.19
Sn1 0.000 0.000 0.000  -0.08
Co3 0.628 0.128 0.000  1.38
Co4 0.372 0.872 0.000  1.38
Pt3 0.157 0.657 0.500  0.17
Pt4 0.843 0.343 0.500  0.17
Sn2 0.500 0.500 0.000  -0.08